The following is a DFT calculation (PBE) of a relaxed SrLaZnN2 crystal.

Lattice parameters (Å, degrees): 5.5435 5.6397 6.9887 90.00 90.00 90.00
Fractional positions:
1 Sr 0.0000 0.0000 0.2500
2 Sr 0.0000 0.0000 0.7500
3 La 0.5000 0.5000 0.2500
4 La 0.5000 0.5000 0.7500
5 Zn 0.5000 0.0000 0.0000
6 Zn 0.5000 0.0000 0.5000
7 N 0.2866 0.2562 0.0000
8 N 0.2866 0.7438 0.5000
9 N 0.7134 0.2562 0.5000
10 N 0.7134 0.7438 0.0000

Computed properties:
E in eV/atom: -5.429
Volume in A^3/atom: 21.849
Crystal system: orthorhombic
Formation energy (no corrections) in kcal/mol of atoms: -12.04